# 1
The following is a PBE calculation of a geometry-optimized KBeIr2 structure, from Alexandria.

Unit cell a=2.7565 b=2.7565 c=9.0962 alpha=90.00 beta=90.00 gamma=116.08
Fractional coordinates of all 4 atoms:
Be: 0.5000 0.5000 0.7500
K: 0.5000 0.5000 0.2500
Ir: 0.0000 0.0000 0.5576
Ir: 0.0000 0.0000 0.9424

Properties
- Space group: No. 65
- Uncorrected energy: -5.39 eV per atom
- Total moment: 0.00 μB/cell
- Fermi-level density of states: 2.8 states/eV per cell
- ΔE_f: 0.24 eV per atom
- V: 15.520 Å³/atom

# 2
The following is a PBE calculation of a geometry-optimized NaSCl3 structure, from Alexandria.

Unit cell a=4.9764 b=4.9764 c=4.9764 alpha=90.00 beta=90.00 gamma=90.00
Fractional coordinates of all 5 atoms:
Cl: 0.0000 0.5000 0.0000
Cl: 0.5000 0.0000 0.0000
Cl: 0.0000 0.0000 0.5000
Na: 0.5000 0.5000 0.5000
S: 0.0000 0.0000 0.0000

Properties
- Space group: No. 221
- Uncorrected energy: -2.72 eV per atom
- Total moment: 0.00 μB/cell
- Fermi-level density of states: 1.0 states/eV per cell
- Relative energy among the computed polymorphs: 0.198 eV per atom
- V: 24.648 Å³/atom

# 3
The following is a PBE calculation of a geometry-optimized Ba2CrBr structure, from Alexandria.

Unit cell a=3.9495 b=6.0818 c=6.0818 alpha=90.00 beta=90.00 gamma=90.00
Fractional coordinates of all 4 atoms:
Ba: 0.0000 0.5000 0.5000
Ba: 0.0000 0.0000 0.0000
Cr: 0.5000 0.0000 0.5000
Br: 0.5000 0.5000 0.0000

Properties
- Space group: No. 123
- Uncorrected energy: -4.04 eV per atom
- Total moment: 4.84 μB/cell
- Fermi-level density of states: 4.5 states/eV per cell
- Relative energy among the computed polymorphs: 0.058 eV per atom
- V: 36.521 Å³/atom